# 1
{"formula": "AcPm4Pr4", "functional": "PBE", "state": "relaxed", "polymorph_energy_ev_per_atom": 0.0048, "cell": [[-4.6885, 0.8841, 2.2071], [-5.4877, -5.3330, -3.2608], [-0.6537, -4.7701, 6.7828]], "species": ["Pr", "Pr", "Pr", "Pr", "Ac", "Pm", "Pm", "Pm", "Pm"], "fractional_positions": [[0.3303, 0.0000, 0.3394], [0.6697, 0.0000, 0.6606], [0.3303, 0.3394, 0.0000], [0.6697, 0.6606, 0.0000], [0.0000, 0.0000, 0.0000], [0.6630, 0.3369, 0.3370], [0.0000, 0.3370, 0.6631], [0.3370, 0.6631, 0.6630], [0.0000, 0.6630, 0.3369]]}

=====

# 2
{"formula": "BP2PdSe", "functional": "PBE", "state": "relaxed", "formation_energy_uncorrected_mev_per_atom": 717, "cell": [[-2.1640, 2.6449, 2.0566], [-3.1711, 0.1238, -3.4959], [-2.0123, -2.9836, 1.7196]], "species": ["P", "P", "Se", "Pd", "B"], "fractional_positions": [[0.5000, 0.0000, 0.0000], [0.0000, 0.0000, 0.5000], [0.0000, 0.5000, 0.0000], [0.5000, 0.5000, 0.5000], [0.0000, 0.0000, 0.0000]]}

=====

# 3
{"formula": "Pr5Ga", "functional": "PBE", "state": "relaxed", "cell": [[-4.7876, -0.9362, 0.0885], [0.9301, -4.8263, -0.7381], [-0.1018, 1.2921, 8.1568]], "species": ["Pr", "Pr", "Pr", "Pr", "Pr", "Ga"], "fractional_positions": [[0.5000, 0.1542, 0.3084], [0.0000, 0.6624, 0.3248], [0.5000, 0.5000, 0.0000], [0.0000, 0.3376, 0.6752], [0.5000, 0.8458, 0.6916], [0.0000, 0.0000, 0.0000]]}

=====

# 4
{"formula": "SrSc2GaTc", "functional": "PBE", "state": "relaxed", "cell": [[4.9900, 0.0000, 0.0000], [0.0000, 5.0647, 0.0000], [0.0000, 0.0000, 4.9900]], "species": ["Sc", "Sc", "Ga", "Sr", "Tc"], "fractional_positions": [[0.0000, 0.0000, 0.5000], [0.5000, 0.0000, 0.0000], [0.0000, 0.5000, 0.0000], [0.0000, 0.0000, 0.0000], [0.5000, 0.5000, 0.5000]]}

=====

# 5
{"formula": "Mg2TcP", "functional": "PBE", "state": "relaxed", "cell": [[3.9044, 0.0000, 0.0000], [0.0000, 4.0951, 0.0000], [0.0000, 0.0000, 3.8371]], "species": ["P", "Tc", "Mg", "Mg"], "fractional_positions": [[0.5000, 0.0000, 0.5000], [0.0000, 0.5000, 0.5000], [0.0000, 0.0000, 0.0000], [0.5000, 0.5000, 0.0000]]}

=====

# 6
{"formula": "Nd3HoPd3", "functional": "PBE", "state": "relaxed", "cell": [[-2.4937, 4.5292, -4.9148], [-3.3550, -5.8282, -2.3796], [-5.5245, 1.5497, 4.4542]], "species": ["Nd", "Nd", "Nd", "Nd", "Nd", "Nd", "Pd", "Pd", "Pd", "Pd", "Pd", "Pd", "Ho", "Ho"], "fractional_positions": [[0.1754, 0.8246, 0.5000], [0.2546, 0.7454, 0.0000], [0.3466, 0.3466, 0.6295], [0.7454, 0.2546, 0.0000], [0.8246, 0.1754, 0.5000], [0.6534, 0.6534, 0.3705], [0.4972, 0.0257, 0.2831], [0.9743, 0.5028, 0.7169], [0.5028, 0.9743, 0.7169], [0.9369, 0.9369, 0.1861], [0.0257, 0.4972, 0.2831], [0.0631, 0.0631, 0.8139], [0.7464, 0.7464, 0.8747], [0.2536, 0.2536, 0.1253]]}

=====

# 7
{"formula": "MgZrTl2", "functional": "PBE", "state": "relaxed", "cell": [[-2.7496, -4.6235, 1.0397], [5.2709, -1.4336, -0.4246], [0.3885, 0.4851, 3.1847]], "species": ["Tl", "Tl", "Zr", "Mg"], "fractional_positions": [[0.5000, 0.5000, 0.0000], [0.0000, 0.0000, 0.0000], [0.5000, 0.0000, 0.5000], [0.0000, 0.5000, 0.5000]]}

=====

# 8
{"formula": "PrNd2Cu6", "functional": "PBE", "state": "relaxed", "cell": [[3.7746, 0.0000, 0.0000], [0.0000, 6.4384, -3.7172], [0.0000, 0.0000, 7.4345]], "species": ["Pr", "Cu", "Cu", "Cu", "Cu", "Cu", "Cu", "Nd", "Nd"], "fractional_positions": [[0.0000, 0.0000, 0.0000], [0.5000, 0.6661, 0.6661], [0.5000, 0.6661, 0.0000], [0.5000, 0.0000, 0.6661], [0.5000, 0.0000, 0.3339], [0.5000, 0.3339, 0.0000], [0.5000, 0.3339, 0.3339], [0.0000, 0.6667, 0.3333], [0.0000, 0.3333, 0.6667]]}

=====

# 9
{"formula": "Ga2BiI", "functional": "PBE", "state": "relaxed", "polymorph_energy_ev_per_atom": 0.0101, "formation_energy_uncorrected_mev_per_atom": 2, "cell": [[-4.1245, -1.6080, -0.1524], [-1.4642, -1.9972, -3.6726], [0.5072, -7.5168, 1.2143]], "species": ["Bi", "Ga", "Ga", "I"], "fractional_positions": [[0.0000, 0.0000, 0.0000], [0.7346, 0.7346, 0.7963], [0.2654, 0.2654, 0.2037], [0.5000, 0.5000, 0.5000]]}

=====

# 10
{"formula": "DyHo4Tm6", "functional": "PBE", "state": "relaxed", "polymorph_energy_ev_per_atom": 0.0000, "cell": [[-1.4014, 1.7734, 5.0726], [4.7501, -2.7273, -0.7741], [11.8846, 21.9444, -4.3886]], "species": ["Tm", "Tm", "Tm", "Tm", "Tm", "Tm", "Tm", "Tm", "Tm", "Tm", "Tm", "Tm", "Ho", "Ho", "Ho", "Ho", "Ho", "Ho", "Ho", "Ho", "Dy", "Dy"], "fractional_positions": [[0.5000, 0.0000, 0.0000], [0.5045, 0.0089, 0.7500], [0.1711, 0.3422, 0.8963], [0.8380, 0.6760, 0.6816], [0.1711, 0.3422, 0.6037], [0.8289, 0.6578, 0.3963], [0.8289, 0.6578, 0.1037], [0.8380, 0.6760, 0.8184], [0.1620, 0.3240, 0.1816], [0.1620, 0.3240, 0.3184], [0.5000, 0.0000, 0.5000], [0.4955, 0.9911, 0.2500], [0.5054, 0.0107, 0.6215], [0.1651, 0.3301, 0.0419], [0.5054, 0.0107, 0.8785], [0.4946, 0.9893, 0.1215], [0.8349, 0.6699, 0.5419], [0.8349, 0.6699, 0.9581], [0.1651, 0.3301, 0.4581], [0.4946, 0.9893, 0.3785], [0.1709, 0.3419, 0.7500], [0.8291, 0.6581, 0.2500]]}

=====

# 11
{"formula": "MnVCo4Si2", "functional": "PBE", "state": "relaxed", "formation_energy_uncorrected_mev_per_atom": -433, "cell": [[6.6301, -2.0010, -0.0002], [6.6301, 2.0010, -0.0002], [6.0263, 0.0000, 3.4125]], "species": ["Mn", "Co", "Co", "Co", "Co", "Si", "Si", "V"], "fractional_positions": [[0.0000, 0.0000, 0.0000], [0.6244, 0.6244, 0.6244], [0.3756, 0.3756, 0.3756], [0.1252, 0.1252, 0.1252], [0.8748, 0.8748, 0.8748], [0.7496, 0.7496, 0.7496], [0.2504, 0.2504, 0.2504], [0.5000, 0.5000, 0.5000]]}

=====

# 12
{"formula": "NaPr3O", "functional": "PBE", "state": "relaxed", "formation_energy_uncorrected_mev_per_atom": -912, "cell": [[-2.4814, 2.1307, 3.9574], [1.2162, -4.0335, 2.9343], [4.3268, 2.3557, 1.4447]], "species": ["O", "Na", "Pr", "Pr", "Pr"], "fractional_positions": [[0.0000, 0.0000, 0.0000], [0.5000, 0.5000, 0.5000], [0.0000, 0.5000, 0.0000], [0.0000, 0.0000, 0.5000], [0.5000, 0.0000, 0.0000]]}

=====

Magnetic moment, record by record: 0.000; 0.000; 0.000; 0.056; 0.106; 0.000; 0.000; 0.000; 0.000; 0.000; 1.007; 0.000 μB per atom
Total energy, record by record: -42.04; -22.59; -27.60; -17.63; -18.77; -38.82; -14.97; -40.82; -11.48; -48.33; -61.02; -25.17 eV/f.u.